Entry 1:
Material: Pr5Sn10Rh4
Method: DFT, PBEsol
State: optimized geometry

For the formation energy from the elements, the calculation gives -0.77 eV per atom.

It has space group P4/mbm (No. 127), with a = 13.9849 Å, b = 13.9849 Å, c = 4.6026 Å, α = 90.00°, β = 90.00° and γ = 90.00°. Symmetry generates all atoms from Pr at (0.0000, 0.0000, 0.0000), Pr at (0.1104, 0.3896, 0.5000), Pr at (0.1778, 0.6778, 0.5000), Sn at (0.0019, 0.8360, 0.5000), Sn at (0.0703, 0.5703, 0.0000), Sn at (0.1543, 0.1979, 0.0000) and Rh at (0.0273, 0.7542, 0.0000).

***

Entry 2:
Material: PrRu2
Method: DFT, PBEsol
State: optimized geometry

For the formation energy from the elements, the calculation gives -0.04 eV per atom.

It has space group Fd-3m (No. 227, origin choice 2), with a = 7.5841 Å, b = 7.5841 Å, c = 7.5841 Å, α = 90.00°, β = 90.00° and γ = 90.00°. Symmetry generates all atoms from Pr at (0.1250, 0.1250, 0.1250) and Ru at (0.0000, 0.0000, 0.5000).

***

Entry 3:
Material: PrSi2Ru
Method: DFT, PBEsol
State: optimized geometry

The raw formation energy is -866.3 meV per atom.

It has space group P2_1/m (No. 11), with a = 4.4710 Å, b = 4.0544 Å, c = 8.2502 Å, α = 90.00°, β = 102.23° and γ = 90.00°. Symmetry generates all atoms from Pr at (0.0868, 0.2500, 0.2006), Si at (0.1674, 0.7500, 0.4916), Si at (0.4637, 0.2500, 0.9080) and Ru at (0.3813, 0.2500, 0.6118).

***

Entry 4:
Material: PrSn3Ru
Method: DFT, PBEsol
State: optimized geometry

For the formation energy from the elements, the calculation gives -0.53 eV per atom.

It has space group Pm-3n (No. 223), with a = 9.6773 Å, b = 9.6773 Å, c = 9.6773 Å, α = 90.00°, β = 90.00° and γ = 90.00°. Symmetry generates all atoms from Pr at (0.0000, 0.0000, 0.0000), Pr at (0.0000, 0.2500, 0.5000), Sn at (0.0000, 0.3147, 0.1560) and Ru at (0.2500, 0.2500, 0.2500).

***

Entry 5:
Material: Pr3Sn13Ru4
Method: DFT, PBEsol
State: optimized geometry

For the formation energy from the elements, the calculation gives -0.46 eV per atom.

It has space group Pm-3n (No. 223), with a = 9.6918 Å, b = 9.6918 Å, c = 9.6918 Å, α = 90.00°, β = 90.00° and γ = 90.00°. Symmetry generates all atoms from Pr at (0.0000, 0.2500, 0.5000), Sn at (0.0000, 0.0000, 0.0000), Sn at (0.0000, 0.3017, 0.1545) and Ru at (0.2500, 0.2500, 0.2500).

***

Entry 6:
Material: PrS
Method: DFT, PBEsol
State: optimized geometry

The raw formation energy is -2112.3 meV per atom.

It has space group Fm-3m (No. 225), with a = 5.7284 Å, b = 5.7284 Å, c = 5.7284 Å, α = 90.00°, β = 90.00° and γ = 90.00°. Symmetry generates all atoms from Pr at (0.0000, 0.0000, 0.0000) and S at (0.0000, 0.0000, 0.5000).

***

| no. | DOS at the Fermi energy (states/eV per cell) | electronic total energy (eV/atom) |
| --- | --- | --- |
| 1 | 18.573 | -6.094 |
| 2 | 39.301 | -8.545 |
| 3 | 3.337 | -7.579 |
| 4 | 22.342 | -6.158 |
| 5 | 17.313 | -6.043 |
| 6 | 3.220 | -6.897 |